DFT (GGA-PBE) results for a relaxed Na12Pd3Br5 crystal.

Cell and atoms, written as CIF:
```
data_Na12Pd3Br5
_cell_length_a 17.150
_cell_length_b 17.150
_cell_length_c 17.150
_cell_angle_alpha 90.00
_cell_angle_beta 90.00
_cell_angle_gamma 90.00
_symmetry_space_group_name_H-M 'I a -3 d'
_symmetry_Int_Tables_number 230
_symmetry_space_group_name_Hall '-I 4bd 2c 3'
loop_
_atom_site_label
_atom_site_fract_x
_atom_site_fract_y
_atom_site_fract_z
Na1 0.012 0.072 0.656
Pd1 0.000 0.250 0.125
Br1 0.000 0.000 0.000
Br2 0.000 0.250 0.375
```

Summary:
Formation energy without anion corrections ... -0.6638 eV/atom
Total DFT energy (no corrections) ... -2.65 eV per atom
Crystal system ... cubic
Volume ... 31.5 Å³ per atom

DFT (GGA-PBE) results for a relaxed RbReN2F crystal.

Cell and atoms, written as CIF:
```
data_RbReN2F
_cell_length_a 4.377
_cell_length_b 4.377
_cell_length_c 4.415
_cell_angle_alpha 90.00
_cell_angle_beta 90.00
_cell_angle_gamma 90.00
_symmetry_space_group_name_H-M 'P 4/m m m'
_symmetry_Int_Tables_number 123
_symmetry_space_group_name_Hall '-P 4 2'
loop_
_atom_site_label
_atom_site_fract_x
_atom_site_fract_y
_atom_site_fract_z
Rb1 0.000 0.000 0.000
Re1 0.500 0.500 0.500
N1 0.000 0.500 0.000
F1 0.000 0.000 0.500
```

Summary:
Formation energy without anion corrections ... 3.0212 eV/atom
Total DFT energy (no corrections) ... -3.37 eV per atom
Crystal system ... tetragonal
Volume ... 16.9 Å³ per atom

DFT (GGA-PBE) results for a relaxed LiMnNi3 crystal.

Cell and atoms, written as CIF:
```
data_LiMnNi3
_cell_length_a 4.262
_cell_length_b 4.262
_cell_length_c 4.262
_cell_angle_alpha 90.00
_cell_angle_beta 90.00
_cell_angle_gamma 90.00
_symmetry_space_group_name_H-M 'P m -3 m'
_symmetry_Int_Tables_number 221
_symmetry_space_group_name_Hall '-P 4 2 3'
loop_
_atom_site_label
_atom_site_fract_x
_atom_site_fract_y
_atom_site_fract_z
Li1 0.000 0.000 0.000
Mn1 0.500 0.500 0.500
Ni1 0.000 0.500 0.500
```

Summary:
Total DFT energy (no corrections) ... -4.80 eV per atom
Crystal system ... cubic
Formation enthalpy at 0 K ... 20.4 kcal/mol of atoms
Volume ... 15.5 Å³ per atom

DFT (GGA-PBE) results for a relaxed SiBiPd2Rh crystal.

Cell and atoms, written as CIF:
```
data_SiBiPd2Rh
_cell_length_a 5.016
_cell_length_b 5.016
_cell_length_c 4.996
_cell_angle_alpha 90.00
_cell_angle_beta 90.00
_cell_angle_gamma 90.00
_symmetry_space_group_name_H-M 'P 4/m m m'
_symmetry_Int_Tables_number 123
_symmetry_space_group_name_Hall '-P 4 2'
loop_
_atom_site_label
_atom_site_fract_x
_atom_site_fract_y
_atom_site_fract_z
Si1 0.000 0.000 0.000
Bi1 0.500 0.500 0.500
Pd1 0.000 0.500 0.500
Rh1 0.500 0.500 0.000
```

Summary:
Formation energy without anion corrections ... 1.0777 eV/atom
Total DFT energy (no corrections) ... -4.33 eV per atom
Crystal system ... tetragonal
Volume ... 25.1 Å³ per atom